1.
Density functional theory data (PBE) for crystalline Tl2ReBr at its relaxed geometry.

Excess energy over the best structure of this formula in the dataset = 206 meV per atom
Raw formation energy = 0.82 eV per atom

Lattice parameters (Å, degrees): 7.6813 7.6456 3.1755 90.00 90.16 90.00
Space group C2/m (No. 12)
Asymmetric unit:
Tl: 0.2500 0.2500 0.0000
Re: 0.0000 0.0000 0.5000
Br: 0.0000 0.5000 0.5000

=====

2.
Density functional theory data (PBE) for crystalline PuAl2H at its relaxed geometry.

E_tot = -73.18 eV per cell

Lattice parameters (Å, degrees): 2.7910 2.7910 23.5576 90.00 90.00 120.00
Space group R-3m (No. 166, hexagonal axes)
Asymmetric unit:
Pu: 0.0000 0.0000 0.0000
Al: 0.0000 0.0000 0.2246
H: 0.0000 0.0000 0.5000

=====

3.
Density functional theory data (PBE) for crystalline Pr4Ho5 at its relaxed geometry.

E_tot = -83.65 eV per cell

Lattice parameters (Å, degrees): 10.8412 10.8412 5.0846 90.00 90.00 90.00
Space group I4/mmm (No. 139)
Asymmetric unit:
Pr: 0.1666 0.1666 0.0000
Ho: 0.0000 0.0000 0.5000
Ho: 0.0000 0.3355 0.5000

=====

4.
Density functional theory data (PBE) for crystalline YCoNi2Sn at its relaxed geometry.

E_tot = -27.00 eV per cell

Lattice parameters (Å, degrees): 4.6561 4.6561 4.6948 90.00 90.00 90.00
Space group P4/mmm (No. 123)
Asymmetric unit:
Y: 0.0000 0.0000 0.0000
Co: 0.5000 0.5000 0.0000
Ni: 0.0000 0.5000 0.5000
Sn: 0.5000 0.5000 0.5000

=====

5.
Density functional theory data (PBE) for crystalline CuPb2Au at its relaxed geometry.

Excess energy over the best structure of this formula in the dataset = 81 meV per atom

Lattice parameters (Å, degrees): 3.5251 4.4955 11.9721 90.00 90.00 90.00
Space group Imm2 (No. 44)
Asymmetric unit:
Cu: 0.0000 0.0000 0.0000
Pb: 0.0000 0.0000 0.4827
Pb: 0.0000 0.5000 0.2652
Au: 0.0000 0.5000 0.6682

=====

6.
Density functional theory data (PBE) for crystalline MnTlHg2 at its relaxed geometry.

E_tot = -21.48 eV per cell

Lattice parameters (Å, degrees): 4.4330 4.4330 9.5167 90.00 90.00 90.00
Space group I-4m2 (No. 119)
Asymmetric unit:
Mn: 0.0000 0.0000 0.0000
Tl: 0.0000 0.5000 0.7500
Hg: 0.0000 0.0000 0.5000
Hg: 0.0000 0.5000 0.2500

=====

7.
Density functional theory data (PBE) for crystalline PaZn4Pd2 at its relaxed geometry.

Excess energy over the best structure of this formula in the dataset = 0 meV per atom

Lattice parameters (Å, degrees): 7.4717 7.4717 4.2887 90.00 90.00 90.00
Space group P4_2/mnm (No. 136)
Asymmetric unit:
Pa: 0.0000 0.0000 0.0000
Zn: 0.0947 0.3491 0.5000
Pd: 0.2222 0.7778 0.5000

=====

8.
Density functional theory data (PBE) for crystalline HfNb2Os2 at its relaxed geometry.

Excess energy over the best structure of this formula in the dataset = 83 meV per atom

Lattice parameters (Å, degrees): 7.7458 7.7458 2.9569 90.00 90.00 90.00
Space group P4/mbm (No. 127)
Asymmetric unit:
Hf: 0.0000 0.0000 0.0000
Nb: 0.1463 0.3537 0.0000
Os: 0.1516 0.6516 0.5000